[1]
The following is a DFT calculation (GGA-PBE) of Ba2Ga5Ag3 after structural relaxation.

abc: 6.4895 9.2101 9.2101
angles: 91.83 69.62 69.62
Closest atoms and distances in Å follow each position.
Sites, in units of the cell vectors:
Ba (0.2405, 0.3860, 0.1348)  10 Ga 3.51-3.66, 6 Ag 3.52-3.72
Ag (0.2500, 0.0009, 0.9991)  5 Ga 2.76-3.04
Ga (0.7500, 0.4993, 0.5007)  4 Ag 2.71-2.72
Ag (0.8822, 0.7493, 0.4836)  5 Ga 2.71-2.74
Ag (0.7500, 0.9991, 0.0009)  5 Ga 2.76-3.04
Ga (0.8620, 0.2607, 0.0143)  2 Ga 2.65, 3 Ag 2.73-2.76
Ga (0.7500, 0.7691, 0.2309)  2 Ga 2.65, 2 Ag 2.74
Ba (0.7405, 0.1348, 0.3860)  10 Ga 3.51-3.66, 6 Ag 3.52-3.72
Ga (0.6380, 0.9857, 0.7393)  2 Ga 2.65, 3 Ag 2.73-2.76
Ga (0.2500, 0.5007, 0.4993)  4 Ag 2.71-2.72
Ba (0.7595, 0.6140, 0.8652)  10 Ga 3.51-3.66, 6 Ag 3.52-3.72
Ga (0.1380, 0.7393, 0.9857)  2 Ga 2.65, 3 Ag 2.73-2.76
Ag (0.1178, 0.2507, 0.5164)  5 Ga 2.71-2.74
Ga (0.2500, 0.7671, 0.2329)  2 Ga 2.65, 2 Ag 2.74
Ba (0.2595, 0.8652, 0.6140)  10 Ga 3.51-3.66, 6 Ag 3.52-3.72
Ag (0.3822, 0.4836, 0.7493)  5 Ga 2.71-2.74
Ga (0.7500, 0.2329, 0.7671)  2 Ga 2.65, 2 Ag 2.74
Ga (0.2500, 0.2309, 0.7691)  2 Ga 2.65, 2 Ag 2.74
Ga (0.3620, 0.0143, 0.2607)  2 Ga 2.65, 3 Ag 2.73-2.76
Ag (0.6178, 0.5164, 0.2507)  5 Ga 2.71-2.74

Properties
The value obtained for the magnetic moment is 0.0 μB/cell. The energy relative to the elements is -335 meV per atom. The calculated volume comes out at 476 Å³/cell. The electronic total energy comes out at -3.09 eV/atom.

---

[2]
The following is a DFT calculation (GGA-PBE) of BaGa2Ag4 after structural relaxation.

abc: 4.7479 4.7479 7.3417
angles: 108.87 90.00 90.00
Closest atoms and distances in Å follow each position.
Sites, in units of the cell vectors:
Ag (0.0000, 0.6889, 0.3779)  2 Ga 2.69, 4 Ag 2.92
Ag (0.5000, 0.1893, 0.3786)  3 Ga 2.69-2.96, 4 Ag 2.91-2.92
Ag (0.0000, 0.3111, 0.6221)  2 Ga 2.69, 4 Ag 2.92
Ga (0.5000, 0.4023, 0.8046)  5 Ag 2.69-2.96, 1 Ga 2.71
Ag (0.5000, 0.8107, 0.6214)  3 Ga 2.69-2.96, 4 Ag 2.91-2.92
Ga (0.5000, 0.5977, 0.1954)  5 Ag 2.69-2.96, 1 Ga 2.71
Ba (0.0000, 0.0000, 0.0000)  8 Ag 3.54, 8 Ga 3.62

Properties
The value obtained for the magnetic moment is 0.0 μB/cell. The energy relative to the elements is -205 meV per atom. The calculated volume comes out at 157 Å³/cell. The electronic total energy comes out at -2.97 eV/atom.

---

[3]
The following is a DFT calculation (GGA-PBE) of Ba2GaAg after structural relaxation.

abc: 8.9703 8.9703 7.5084
angles: 53.32 53.32 90.00
Closest atoms and distances in Å follow each position.
Sites, in units of the cell vectors:
Ba (0.1215, 0.6250, 0.2500)  2 Ag 3.31, 2 Ga 3.35
Ba (0.8750, 0.8785, 0.7500)  2 Ag 3.31, 2 Ga 3.35
Ba (0.3750, 0.3715, 0.7500)  2 Ag 3.31, 2 Ga 3.35
Ga (0.2500, 0.7500, 0.5000)  4 Ba 3.35
Ag (0.0000, 0.0000, 0.0000)  4 Ba 3.31
Ba (0.6285, 0.1250, 0.2500)  2 Ag 3.31, 2 Ga 3.35
Ga (0.5000, 0.5000, 0.0000)  4 Ba 3.35
Ag (0.7500, 0.2500, 0.5000)  4 Ba 3.31

Properties
The value obtained for the magnetic moment is 0.0 μB/cell. The energy relative to the elements is 28 meV per atom. The calculated volume comes out at 323 Å³/cell. The electronic total energy comes out at -2.40 eV/atom.